# 1
Entry from the Alexandria database: a relaxed structure of Cs2NaTl6 (PBE).

Its space group is P-3m1, No. 164.

abc: 6.9177 6.9177 8.0993
angles: 90.00 90.00 120.00
Fractional coordinates of all 9 atoms:
Cs 0.3333 0.6667 0.1166
Cs 0.6667 0.3333 0.8834
Na 0.0000 0.0000 0.0000
Tl 0.1706 0.3411 0.6571
Tl 0.1706 0.8294 0.6571
Tl 0.3411 0.1706 0.3429
Tl 0.6589 0.8294 0.6571
Tl 0.8294 0.1706 0.3429
Tl 0.8294 0.6589 0.3429

---

# 2
Entry from the Alexandria database: a relaxed structure of Cs2NaTl (PBE).

For the relative energy among the computed polymorphs, the calculation gives 229.3 meV per atom. Its space group is R-3m, No. 166.

abc: 4.4329 4.4329 44.2776
angles: 90.00 90.00 120.00
Fractional coordinates of all 12 atoms:
Cs 0.0000 0.0000 0.0849
Cs 0.0000 0.0000 0.9151
Cs 0.3333 0.6667 0.5818
Cs 0.3333 0.6667 0.7515
Cs 0.6667 0.3333 0.2485
Cs 0.6667 0.3333 0.4182
Na 0.0000 0.0000 0.5000
Na 0.3333 0.6667 0.1667
Na 0.6667 0.3333 0.8333
Tl 0.0000 0.0000 0.0000
Tl 0.3333 0.6667 0.6667
Tl 0.6667 0.3333 0.3333

---

# 3
Entry from the Alexandria database: a relaxed structure of CsNa9Tl3 (PBE).

Its space group is C2/m, No. 12.

abc: 8.9751 8.9751 8.8969
angles: 97.88 97.88 135.96
Fractional coordinates of all 13 atoms:
Cs 0.0000 0.0000 0.0000
Na 0.0000 0.0000 0.5000
Na 0.0017 0.3550 0.3405
Na 0.2882 0.5177 0.7773
Na 0.3550 0.0017 0.3405
Na 0.4823 0.7118 0.2227
Na 0.5177 0.2882 0.7773
Na 0.6450 0.9983 0.6595
Na 0.7118 0.4823 0.2227
Na 0.9983 0.6450 0.6595
Tl 0.0000 0.5000 0.0000
Tl 0.5000 0.0000 0.0000
Tl 0.5000 0.5000 0.5000

---

# 4
Entry from the Alexandria database: a relaxed structure of CsNaTl4 (PBE).

For the relative energy among the computed polymorphs, the calculation gives 44.7 meV per atom. Its space group is C2/m, No. 12.

abc: 9.9437 9.9437 6.3106
angles: 103.42 103.42 49.15
Fractional coordinates of all 12 atoms:
Cs 0.2168 0.2168 0.1298
Cs 0.7832 0.7832 0.8702
Na 0.4462 0.4462 0.2356
Na 0.5538 0.5538 0.7644
Tl 0.0921 0.7199 0.4623
Tl 0.1904 0.8096 0.0000
Tl 0.2801 0.9079 0.5377
Tl 0.3670 0.3670 0.7191
Tl 0.6330 0.6330 0.2809
Tl 0.7199 0.0921 0.4623
Tl 0.8096 0.1904 0.0000
Tl 0.9079 0.2801 0.5377

---

# 5
Entry from the Alexandria database: a relaxed structure of Cs2NaTl2 (PBE).

For the relative energy among the computed polymorphs, the calculation gives 216.4 meV per atom. Its space group is I4/mmm, No. 139.

abc: 5.7878 5.7878 16.4080
angles: 90.00 90.00 90.00
Fractional coordinates of all 10 atoms:
Cs 0.0000 0.5000 0.2500
Cs 0.0000 0.5000 0.7500
Cs 0.5000 0.0000 0.2500
Cs 0.5000 0.0000 0.7500
Na 0.0000 0.0000 0.0000
Na 0.5000 0.5000 0.5000
Tl 0.0000 0.0000 0.4117
Tl 0.0000 0.0000 0.5883
Tl 0.5000 0.5000 0.0883
Tl 0.5000 0.5000 0.9117

---

# 6
Entry from the Alexandria database: a relaxed structure of Cs3Na7Tl2 (PBE).

Its space group is R-3m, No. 166.

abc: 12.3968 12.3968 12.3968
angles: 35.43 35.43 35.43
Fractional coordinates of all 12 atoms:
Cs 0.0000 0.0000 0.0000
Cs 0.1421 0.1421 0.1421
Cs 0.8579 0.8579 0.8579
Na 0.0744 0.5707 0.5707
Na 0.4293 0.4293 0.9256
Na 0.4293 0.9256 0.4293
Na 0.5000 0.5000 0.5000
Na 0.5707 0.0744 0.5707
Na 0.5707 0.5707 0.0744
Na 0.9256 0.4293 0.4293
Tl 0.3325 0.3325 0.3325
Tl 0.6675 0.6675 0.6675

---

Computed DOS(E_F), in the same sequence as the records: 5.5; 13.4; 6.5; 7.7; 12.4; 6.1 states/eV per cell.
Computed formation energy, in the same sequence as the records: -0.5; 1.0; -0.8; -0.2; 0.7; -0.4 eV per formula unit.